1.
## NdNi2Ge2 (SCAN)

Data for NdNi2Ge2 at its PBEsol-relaxed geometry.

Output
ΔH_f (0 K): -0.7688 eV per atom

Cell lengths 4.0908, 4.0908, 9.7158 Å; angles 90.00, 90.00, 90.00 degrees
Space group I4/mmm (No. 139)
One atom of each set of equivalent atoms:
Nd (0.0000, 0.0000, 0.0000)
Ni (0.0000, 0.5000, 0.2500)
Ge (0.0000, 0.0000, 0.3679)

***

2.
## ZnH3F (SCAN)

Data for ZnH3F at its PBEsol-relaxed geometry.

Output
energy relative to the lowest polymorph listed for this composition: 0.00 eV per formula unit

Cell lengths 4.2665, 11.7447, 2.8284 Å; angles 90.00, 130.31, 90.00 degrees
Space group C2 (No. 5)
One atom of each set of equivalent atoms:
Zn (0.0000, 0.0000, 0.0000)
H (0.0000, 0.0749, 0.5000)
H (0.1004, 0.7428, 0.5285)
F (0.0000, 0.4100, 0.5000)

***

3.
## CdCu4 (SCAN)

Data for CdCu4 at its PBEsol-relaxed geometry.

Output
ΔH_f (0 K): 0.0697 eV per atom

Cell lengths 5.8725, 5.8725, 3.7371 Å; angles 90.00, 90.00, 90.00 degrees
Space group I4/m (No. 87)
One atom of each set of equivalent atoms:
Cd (0.0000, 0.0000, 0.0000)
Cu (0.0919, 0.6918, 0.5000)

***

4.
## HfCdSb2Te (SCAN)

Data for HfCdSb2Te at its PBEsol-relaxed geometry.

Output
formation energy without anion corrections: 217 meV per atom

Cell lengths 5.4760, 5.4760, 5.4039 Å; angles 90.00, 90.00, 90.00 degrees
Space group P4/mmm (No. 123)
One atom of each set of equivalent atoms:
Hf (0.0000, 0.0000, 0.0000)
Cd (0.5000, 0.5000, 0.5000)
Sb (0.0000, 0.5000, 0.0000)
Te (0.0000, 0.0000, 0.5000)

***

5.
## Mg2In (SCAN)

Data for Mg2In at its PBEsol-relaxed geometry.

Output
ΔH_f (0 K): -0.1220 eV per atom

Cell lengths 13.1060, 13.1060, 13.1060 Å; angles 90.00, 90.00, 90.00 degrees
Space group Fd-3m (No. 227, origin choice 2)
One atom of each set of equivalent atoms:
Mg (0.0000, 0.0000, 0.0000)
Mg (0.0699, 0.3750, 0.8750)
In (0.0307, 0.0307, 0.2193)

***

6.
## YTa2Se (SCAN)

Data for YTa2Se at its PBEsol-relaxed geometry.

Output
formation energy without anion corrections: 171 meV per atom

Cell lengths 3.1352, 3.1352, 8.0967 Å; angles 90.00, 90.00, 90.00 degrees
Space group P4/mmm (No. 123)
One atom of each set of equivalent atoms:
Y (0.0000, 0.0000, 0.0000)
Ta (0.5000, 0.5000, 0.3060)
Se (0.0000, 0.0000, 0.5000)

***

| no. | M_tot (μB per atom) | energy (Ry per atom) |
| --- | --- | --- |
| 1 | 0.00 | -1.73380 |
| 2 | 0.00 | -0.45112 |
| 3 | 0.00 | -1.33566 |
| 4 | 0.00 | -2.99542 |
| 5 | 0.00 | -1.07063 |
| 6 | 0.00 | -3.31484 |